# 1
Below is crystalline Cs2Li2PaTe4 at its relaxed geometry, with properties calculated at the GGA-PBE level.

POSCAR file:
```
Cs2Li2PaTe4
1.0
8.4769 -2.3301 0.0000
8.4769 2.3301 0.0000
-2.8641 0.0000 8.3964
Cs Li Pa Te
2 2 1 4
Direct
0.1383 0.1383 0.0663
0.8617 0.8617 0.9337
0.3203 0.3203 0.5147
0.6797 0.6797 0.4853
0.0000 0.0000 0.5000
0.1913 0.1913 0.6612
0.4846 0.4846 0.7256
0.5154 0.5154 0.2744
0.8087 0.8087 0.3388
```

Formation energy without anion corrections   -1.065 eV/atom
Final energy   -4.13 eV per atom
Density of states at the Fermi level   4.96 states/eV per cell
ρ   5.1 g/cm³



# 2
Below is crystalline CsLiPb at its relaxed geometry, with properties calculated at the GGA-PBE level.

POSCAR file:
```
CsLiPb
1.0
4.7896 0.0000 0.0000
1.2212 4.6543 0.0000
1.5195 -0.1005 12.4481
Cs Li Pb
2 2 2
Direct
0.2081 0.2859 0.1922
0.7919 0.7141 0.8078
0.2799 0.5306 0.4469
0.7201 0.4694 0.5531
0.2345 0.0256 0.5870
0.7655 0.9744 0.4130
```

ΔE_f   -47 kJ/mol of formula units
Final energy   -2.32 eV per atom
Density of states at the Fermi level   2.40 states/eV per cell
ρ   4.2 g/cm³
Offset from the most stable computed form   0.088 eV per formula unit



# 3
Below is crystalline CsLi2Pb2 at its relaxed geometry, with properties calculated at the GGA-PBE level.

POSCAR file:
```
CsLi2Pb2
1.0
-2.7586 2.7586 5.3927
2.7586 -2.7586 5.3927
2.7586 2.7586 -5.3927
Cs Li Pb
1 2 2
Direct
0.0000 0.0000 0.0000
0.2500 0.7500 0.5000
0.7500 0.2500 0.5000
0.3634 0.3634 0.0000
0.6366 0.6366 0.0000
```

ΔE_f   -58 kJ/mol of formula units
Final energy   -2.54 eV per atom
Density of states at the Fermi level   2.79 states/eV per cell
ρ   5.7 g/cm³
Offset from the most stable computed form   0.049 eV per formula unit



# 4
Below is crystalline CsLi3Pb at its relaxed geometry, with properties calculated at the GGA-PBE level.

POSCAR file:
```
CsLi3Pb
1.0
5.3861 0.0000 0.0000
0.0000 5.3861 0.0000
0.0000 0.0000 5.3861
Cs Li Pb
1 3 1
Direct
0.0000 0.0000 0.0000
0.0000 0.0000 0.5000
0.0000 0.5000 0.0000
0.5000 0.0000 0.0000
0.5000 0.5000 0.5000
```

ΔE_f   349 kJ/mol of formula units
Final energy   -1.34 eV per atom
Density of states at the Fermi level   0.97 states/eV per cell
ρ   3.8 g/cm³
Offset from the most stable computed form   4.432 eV per formula unit



# 5
Below is crystalline CsLiPb at its relaxed geometry, with properties calculated at the GGA-PBE level.

POSCAR file:
```
CsLiPb
1.0
2.5081 -7.3804 0.0000
2.5081 7.3804 0.0000
0.0000 0.0000 6.0827
Cs Li Pb
2 2 2
Direct
0.2153 0.7847 0.7500
0.7847 0.2153 0.2500
0.5000 0.5000 0.0000
0.5000 0.5000 0.5000
0.0544 0.9456 0.2500
0.9456 0.0544 0.7500
```

ΔE_f   -50 kJ/mol of formula units
Final energy   -2.33 eV per atom
Density of states at the Fermi level   1.72 states/eV per cell
ρ   5.1 g/cm³
Offset from the most stable computed form   0.061 eV per formula unit



# 6
Below is crystalline CsLiPb3 at its relaxed geometry, with properties calculated at the GGA-PBE level.

POSCAR file:
```
CsLiPb3
1.0
6.8843 0.0000 0.0000
0.0000 5.5910 0.0000
-3.3995 0.0000 9.0089
Cs Li Pb
2 2 6
Direct
0.0792 0.2500 0.1577
0.9208 0.7500 0.8423
0.3428 0.7500 0.6867
0.6572 0.2500 0.3133
0.0551 0.2500 0.5915
0.4496 0.2500 0.9008
0.4566 0.7500 0.4073
0.5434 0.2500 0.5927
0.5504 0.7500 0.0992
0.9449 0.7500 0.4085
```

ΔE_f   -78 kJ/mol of formula units
Final energy   -2.94 eV per atom
Density of states at the Fermi level   3.66 states/eV per cell
ρ   7.3 g/cm³
Offset from the most stable computed form   0.029 eV per formula unit



# 7
Below is crystalline CsLiPb4 at its relaxed geometry, with properties calculated at the GGA-PBE level.

POSCAR file:
```
CsLiPb4
1.0
0.0000 4.7806 4.7806
4.7806 0.0000 4.7806
4.7806 4.7806 0.0000
Cs Li Pb
1 1 4
Direct
0.0000 0.0000 0.0000
0.7500 0.7500 0.7500
0.3767 0.3767 0.3767
0.3767 0.3767 0.8700
0.3767 0.8700 0.3767
0.8700 0.3767 0.3767
```

ΔE_f   9 kJ/mol of formula units
Final energy   -2.92 eV per atom
Density of states at the Fermi level   8.33 states/eV per cell
ρ   7.4 g/cm³



# 8
Below is crystalline CsLiPb3 at its relaxed geometry, with properties calculated at the GGA-PBE level.

POSCAR file:
```
CsLiPb3
1.0
-2.5402 2.5456 6.6826
2.5402 -2.5456 6.6826
2.5402 2.5456 -6.6826
Cs Li Pb
1 1 3
Direct
0.0000 0.0000 0.0000
0.6204 0.6204 0.0000
0.2437 0.7437 0.5000
0.3908 0.3908 0.0000
0.7441 0.2441 0.5000
```

ΔE_f   -81 kJ/mol of formula units
Final energy   -2.95 eV per atom
Density of states at the Fermi level   2.36 states/eV per cell
ρ   7.3 g/cm³
Offset from the most stable computed form   0.000 eV per formula unit